Record 1
Computed, not measured: an optimized crystal structure of Li4Cd3Ag at the PBE level of DFT.

Geometry as POSCAR:
```
Li4Cd3Ag
1.0
3.261 -3.249 0.000
3.261 3.249 0.000
-3.241 0.000 6.611
Li Cd Ag
4 3 1
Direct
0.121 0.621 0.742
0.379 0.879 0.258
0.621 0.121 0.742
0.879 0.379 0.258
0.000 0.000 0.500
0.253 0.253 0.005
0.747 0.747 0.995
0.500 0.500 0.500
```

Values from the calculation:
Formation energy ... -243 meV per atom
Energy above the most stable polymorph in this dataset ... 0.0 meV/atom
SG ... C2/m, No. 12
Size of the total moment ... 0.000 μB per formula unit
Calculated volume ... 140 Å³/cell
DOS(E_F) ... 2.55 states/eV/f.u.

=====

Record 2
Computed, not measured: an optimized crystal structure of PmHO2 at the PBE level of DFT.

Geometry as POSCAR:
```
PmHO2
1.0
11.112 0.000 0.000
0.000 3.711 0.000
0.000 0.000 5.237
Pm H O
4 4 8
Direct
0.145 0.250 0.125
0.355 0.750 0.625
0.645 0.250 0.375
0.855 0.750 0.875
0.103 0.750 0.659
0.397 0.250 0.159
0.603 0.750 0.841
0.897 0.250 0.341
0.074 0.750 0.839
0.187 0.750 0.370
0.313 0.250 0.870
0.426 0.250 0.339
0.574 0.750 0.661
0.687 0.750 0.130
0.813 0.250 0.630
0.926 0.250 0.161
```

Values from the calculation:
Energy above the most stable polymorph in this dataset ... 36.6 meV/atom
SG ... Pnma, No. 62
Size of the total moment ... 0.000 μB per formula unit
Calculated volume ... 216 Å³/cell
DOS(E_F) ... 0.00 states/eV/f.u.

=====

Record 3
Computed, not measured: an optimized crystal structure of Ba2PtPb3 at the PBE level of DFT.

Geometry as POSCAR:
```
Ba2PtPb3
1.0
6.149 -2.597 0.000
6.149 2.597 0.000
-5.915 0.000 6.162
Ba Pt Pb
2 1 3
Direct
0.000 0.000 0.000
0.120 0.120 0.612
0.371 0.371 0.570
0.386 0.386 0.238
0.681 0.681 0.962
0.738 0.738 0.407
```

Values from the calculation:
Formation energy ... -523 meV per atom
Energy above the most stable polymorph in this dataset ... 0.0 meV/atom
SG ... Cm, No. 8
Size of the total moment ... 0.000 μB per formula unit
Calculated volume ... 197 Å³/cell
DOS(E_F) ... 2.38 states/eV/f.u.

=====

Record 4
Computed, not measured: an optimized crystal structure of NdPtC at the PBE level of DFT.

Geometry as POSCAR:
```
NdPtC
1.0
3.997 0.000 0.000
1.995 3.660 0.000
1.992 -0.510 8.624
Nd Pt C
2 2 2
Direct
0.000 0.000 0.000
0.360 0.736 0.545
0.212 0.378 0.200
0.795 0.053 0.360
0.760 0.658 0.820
0.950 0.374 0.727
```

Values from the calculation:
Formation energy ... -318 meV per atom
SG ... P1, No. 1
Size of the total moment ... 0.000 μB per formula unit
Calculated volume ... 126 Å³/cell

=====

Record 5
Computed, not measured: an optimized crystal structure of CoPRh2 at the PBE level of DFT.

Geometry as POSCAR:
```
CoPRh2
1.0
0.000 2.974 2.974
2.974 0.000 2.974
2.974 2.974 0.000
Co P Rh
1 1 2
Direct
0.000 0.000 0.000
0.250 0.250 0.250
0.500 0.500 0.500
0.750 0.750 0.750
```

Values from the calculation:
Formation energy ... 96 meV per atom
SG ... F-43m, No. 216
Size of the total moment ... 2.230 μB per formula unit
Calculated volume ... 53 Å³/cell
DOS(E_F) ... 6.64 states/eV/f.u.

=====

Record 6
Computed, not measured: an optimized crystal structure of LaPr2Sm4Ho at the PBE level of DFT.

Geometry as POSCAR:
```
LaPr2Sm4Ho
1.0
6.306 0.000 0.000
0.000 3.664 0.000
-2.171 0.000 11.939
La Pr Sm Ho
1 2 4 1
Direct
0.000 0.000 0.000
0.500 0.000 0.500
0.500 0.500 0.000
0.248 0.000 0.747
0.250 0.500 0.253
0.750 0.500 0.747
0.752 0.000 0.253
0.000 0.500 0.500
```

Values from the calculation:
Formation energy ... 18 meV per atom
SG ... P2/m, No. 10
Size of the total moment ... 0.000 μB per formula unit
Calculated volume ... 276 Å³/cell
DOS(E_F) ... 12.71 states/eV/f.u.